Record 1
20
Lattice="9.693 0.000 0.000 0.000 4.933 0.000 0.000 0.000 9.475" Properties=species:S:1:pos:R:3 comment="HoCd3Ag | the Alexandria database | GGA-PBE | optimized geometry" magnetic_moment_mub_per_atom=0.00 e_form_ev_per_atom=-0.181 relative_energy_mev_per_atom=0.0 sg="Pnma, No. 62" energy_ev_per_atom=-2.216 pbc="T T T"
Ho 2.420 1.233 0.044
Ho 2.426 3.699 4.782
Ho 7.267 1.233 4.693
Ho 7.272 3.699 9.431
Cd 0.707 1.233 3.522
Cd 0.755 3.699 1.371
Cd 1.227 3.699 7.958
Cd 3.619 1.233 3.221
Cd 4.091 1.233 6.109
Cd 4.140 3.699 8.259
Cd 5.553 1.233 1.216
Cd 5.602 3.699 3.366
Cd 6.073 3.699 6.255
Cd 8.466 1.233 1.517
Cd 8.937 1.233 8.104
Cd 8.986 3.699 5.954
Ag 1.285 1.233 6.289
Ag 3.562 3.699 1.552
Ag 6.131 1.233 7.924
Ag 8.408 3.699 3.186

=====

Record 2
8
Lattice="0.000 3.750 4.811 3.746 0.000 4.811 3.746 3.750 0.000" Properties=species:S:1:pos:R:3 comment="SrCd2GaO4 | the Alexandria database | GGA-PBE | optimized geometry" magnetic_moment_mub_per_atom=0.00 sg="Fmm2, No. 42" energy_ev_per_atom=-4.895 pbc="T T T"
Sr 0.000 0.000 0.000
Cd 1.873 1.875 2.407
Cd 5.619 5.625 7.218
Ga 3.746 3.750 4.814
O 3.746 2.191 3.711
O 5.305 3.750 5.917
O 3.746 5.309 3.711
O 2.188 3.750 5.917

=====

Record 3
12
Lattice="3.614 -6.187 0.000 3.614 6.187 0.000 -2.340 0.000 6.979" Properties=species:S:1:pos:R:3 comment="SmTh5Pt6 | the Alexandria database | GGA-PBE | optimized geometry" magnetic_moment_mub_per_atom=0.00 e_form_ev_per_atom=-1.193 sg="C2/m, No. 12" energy_ev_per_atom=-7.698 pbc="T T T"
Sm 0.000 0.000 0.000
Th 2.444 4.118 3.490
Th 3.614 2.066 0.000
Th 2.444 0.000 3.490
Th 3.614 -2.066 0.000
Th 2.444 -4.118 3.490
Pt 1.234 2.077 1.760
Pt 0.072 0.000 5.219
Pt 1.234 -2.077 1.760
Pt 3.653 2.077 5.220
Pt 4.815 0.000 1.761
Pt 3.653 -2.077 5.220

=====

Record 4
4
Lattice="3.637 0.000 0.000 0.000 3.637 0.000 0.000 0.000 4.398" Properties=species:S:1:pos:R:3 comment="TcMo2P | the Alexandria database | GGA-PBE | optimized geometry" magnetic_moment_mub_per_atom=0.00 e_form_ev_per_atom=0.126 sg="P4/mmm, No. 123" energy_ev_per_atom=-9.233 pbc="T T T"
Tc 0.000 0.000 0.000
Mo 0.000 1.819 2.199
Mo 1.819 0.000 2.199
P 1.819 1.819 0.000

=====

Record 5
12
Lattice="6.873 -2.871 0.000 6.873 2.871 0.000 -1.658 0.000 6.990" Properties=species:S:1:pos:R:3 comment="Ce3Pt2Rh | the Alexandria database | GGA-PBE | optimized geometry" magnetic_moment_mub_per_atom=0.26 e_form_ev_per_atom=-0.913 relative_energy_mev_per_atom=0.0 sg="C2/c, No. 15" energy_ev_per_atom=-7.119 pbc="T T T"
Ce 5.630 2.125 5.243
Ce 3.932 0.612 2.514
Ce 3.103 -0.612 6.009
Ce 8.986 0.612 0.982
Ce 8.157 -0.612 4.477
Ce 6.459 -2.125 1.748
Pt 2.198 0.592 0.100
Pt 1.369 -0.592 3.595
Pt 10.719 0.592 3.395
Pt 9.891 -0.592 6.891
Rh 6.459 0.708 1.748
Rh 5.630 -0.708 5.243

=====

Record 6
6
Lattice="4.757 0.000 0.000 0.000 4.757 0.000 0.000 0.000 5.550" Properties=species:S:1:pos:R:3 comment="CeGa2Pd2Pt | the Alexandria database | GGA-PBE | optimized geometry" magnetic_moment_mub_per_atom=0.14 e_form_ev_per_atom=-0.503 sg="P4/mmm, No. 123" energy_ev_per_atom=-5.239 pbc="T T T"
Ce 0.000 0.000 0.000
Ga 0.000 2.379 2.775
Ga 2.379 0.000 2.775
Pd 2.379 2.379 1.355
Pd 2.379 2.379 4.195
Pt 0.000 0.000 2.775